# BaCoTe2

BaCoTe2 after structural relaxation (PBE-GGA, the Alexandria database).

```
BaCoTe2
1.0
2.1439 1.2378 7.1997
-2.1439 1.2378 7.1997
0.0000 -2.4756 7.1997
Ba Co Te
1 1 2
Cartesian
0.0000 0.0000 0.0000
0.0000 0.0000 10.7996
0.0000 0.0000 4.8114
0.0000 0.0000 16.7877
```

For the energy, the calculation gives -4.35 eV per atom. As for the crystal system: trigonal. For the total magnetic moment, the calculation gives 1.00 μB/cell. The density of states at the Fermi level is 0.413 states/eV per atom. Its uncorrected formation energy is -0.53 eV per atom.

---

# NdEu2Br

NdEu2Br after structural relaxation (PBE-GGA, the Alexandria database).

```
NdEu2Br
1.0
3.6861 0.0000 0.0000
0.0000 3.6861 0.0000
0.0000 0.0000 10.2328
Nd Eu Br
1 2 1
Cartesian
0.0000 0.0000 0.0000
1.8430 1.8430 2.8707
1.8430 1.8430 7.3621
0.0000 0.0000 5.1164
```

For the energy, the calculation gives -7.36 eV per atom. As for the crystal system: tetragonal. For the total magnetic moment, the calculation gives 14.68 μB/cell. The density of states at the Fermi level is 3.069 states/eV per atom. The polymorph energy (0 for the lowest one) comes out at 0.070 eV per atom. Its uncorrected formation energy is -0.61 eV per atom.

---

# Hf2BiO2

Hf2BiO2 after structural relaxation (PBE-GGA, the Alexandria database).

```
Hf2BiO2
1.0
-1.8813 1.8813 5.6794
1.8813 -1.8813 5.6794
1.8813 1.8813 -5.6794
Hf Bi O
2 1 2
Cartesian
0.0000 0.0000 1.7248
0.0000 0.0000 9.6340
0.0000 0.0000 5.6794
1.8813 0.0000 2.8397
0.0000 1.8813 2.8397
```

For the energy, the calculation gives -8.83 eV per atom. As for the crystal system: tetragonal. For the total magnetic moment, the calculation gives 0.00 μB/cell. The density of states at the Fermi level is 0.297 states/eV per atom. Its uncorrected formation energy is -2.09 eV per atom.

---

# Ba2CuRuC

Ba2CuRuC after structural relaxation (PBE-GGA, the Alexandria database).

```
Ba2CuRuC
1.0
5.8436 0.0000 0.0000
0.0000 5.8436 0.0000
0.0000 0.0000 3.8931
Ba Cu Ru C
2 1 1 1
Cartesian
0.0000 2.9218 0.0000
2.9218 0.0000 0.0000
0.0000 0.0000 1.9466
2.9218 2.9218 1.9466
2.9218 2.9218 0.0000
```

For the energy, the calculation gives -5.01 eV per atom. As for the crystal system: tetragonal. For the total magnetic moment, the calculation gives 0.00 μB/cell. The density of states at the Fermi level is 0.801 states/eV per atom.

---

# Rb2HfCrPb

Rb2HfCrPb after structural relaxation (PBE-GGA, the Alexandria database).

```
Rb2HfCrPb
1.0
7.3996 0.0000 0.0000
0.0000 7.3996 0.0000
0.0000 0.0000 5.4958
Rb Hf Cr Pb
2 1 1 1
Cartesian
0.0000 3.6998 0.0000
3.6998 0.0000 0.0000
0.0000 0.0000 0.0000
3.6998 3.6998 2.7479
0.0000 0.0000 2.7479
```

For the energy, the calculation gives -3.68 eV per atom. As for the crystal system: tetragonal. For the total magnetic moment, the calculation gives 5.81 μB/cell. The density of states at the Fermi level is 0.665 states/eV per atom.

---

# Sm2TmAl12Fe3

Sm2TmAl12Fe3 after structural relaxation (PBE-GGA, the Alexandria database).

```
Sm2TmAl12Fe3
1.0
4.2696 2.4651 6.1701
-4.2696 2.4651 6.1701
0.0000 -4.9301 6.1701
Sm Tm Al Fe
2 1 12 3
Cartesian
0.0000 0.0000 1.5310
0.0000 0.0000 16.9794
0.0000 0.0000 9.2552
-2.6891 -1.5526 8.3674
0.0000 -1.7643 6.4072
-1.5279 0.8821 6.4072
0.0000 -3.1051 10.1430
-2.6891 1.5526 10.1430
-1.5279 -0.8822 12.1032
1.5279 0.8822 6.4072
2.6891 -1.5526 8.3674
0.0000 3.1051 8.3674
1.5279 -0.8822 12.1032
0.0000 1.7643 12.1032
2.6891 1.5526 10.1430
-2.1348 -1.2325 6.1701
-2.1348 1.2325 12.3403
0.0000 2.4650 6.1701
```

For the energy, the calculation gives -4.52 eV per atom. As for the crystal system: trigonal. For the total magnetic moment, the calculation gives 0.00 μB/cell. The density of states at the Fermi level is 0.780 states/eV per atom.

---

Question: Look up the energy of the sixth one.
Answer: -4.52 eV per atom

---

Question: Which formula does entry 1 have?
Answer: BaCoTe2